VASP calculation (PBE+U) on an optimized crystal structure of SrCaVO4.

```
SrCaVO4
1.0
5.835 0.000 0.105
0.000 5.902 0.000
-2.167 0.000 6.405
Sr Ca V O
2 2 2 8
Cartesian
2.330 4.427 6.137 Sr
1.338 1.476 0.373 Sr
3.849 4.427 3.091 Ca
-0.181 1.476 3.419 Ca
0.983 4.427 2.125 V
2.685 1.476 4.385 V
3.954 2.818 4.768 O
-0.286 5.769 1.742 O
-0.286 3.084 1.742 O
3.954 0.133 4.768 O
2.400 4.427 1.046 O
1.268 1.476 5.464 O
1.419 4.427 3.824 O
2.249 1.476 2.686 O
```

Computed properties:
Total DFT energy (no corrections) (eV per atom): -6.963
Magnetization (μB/atom): 0.14
Symmetry: P2_1/m, No. 11